# VCdS2

A relaxed structure of VCdS2 (PBE-GGA, the Alexandria database).

Structure (extended XYZ):
```
16
Lattice="5.745 0.000 0.000 0.000 5.745 0.000 0.000 0.000 11.254" Properties=species:S:1:pos:R:3 pbc="T T T"
V 0.000 0.000 0.000
V 0.000 2.872 2.814
V 2.872 0.000 8.441
V 2.872 2.872 5.627
Cd 0.000 0.000 5.627
Cd 0.000 2.872 8.441
Cd 2.872 0.000 2.814
Cd 2.872 2.872 0.000
S 1.258 1.436 1.407
S 1.436 4.130 4.220
S 1.436 4.487 9.848
S 1.615 1.436 7.034
S 4.130 4.309 7.034
S 4.309 1.258 9.848
S 4.309 1.615 4.220
S 4.487 4.309 1.407
```

Values from the calculation:
electronic total energy: -5.08 eV per atom
V: 23.21 A^3/atom
E_form (uncorrected): -48.8 kJ/mol of atoms